Entry 1:
A plane-wave DFT calculation with PBE-GGA was carried out for crystalline AlTe2Cl at its relaxed geometry.

Cell lengths 5.0786, 5.0786, 5.0786 Å; angles 60.00, 60.00, 60.00 degrees
Last column: nearest neighbours and their distance in Å.
Element x y z (fractional)
Te: 0.2500 0.2500 0.2500  4 Cl 3.11, 4 Al 3.11
Te: 0.7500 0.7500 0.7500  4 Cl 3.11, 4 Al 3.11
Al: 0.0000 0.0000 0.0000  8 Te 3.11
Cl: 0.5000 0.5000 0.5000  8 Te 3.11

Computed properties:
E_tot: -2.8657 eV per atom
energy relative to the elements, uncorrected: 40 kJ/mol of formula units
energy above the most stable polymorph in this dataset: 0.666 eV per atom

---

Entry 2:
A plane-wave DFT calculation with PBE-GGA was carried out for crystalline Sb3Br5 at its relaxed geometry.

Cell lengths 12.8054, 12.9681, 9.7135 Å; angles 94.59, 93.68, 153.04 degrees
Last column: nearest neighbours and their distance in Å.
Element x y z (fractional)
Sb: 0.9866 0.9376 0.9856  2 Br 2.70-2.77, 2 Sb 3.02
Sb: 0.5010 0.4520 0.0144  2 Br 2.70-2.77, 2 Sb 3.02
Sb: 0.4977 0.4252 0.5000  2 Br 2.65
Sb: 0.5585 0.8995 0.5000  2 Br 2.51-2.56
Sb: 0.2509 0.7780 0.0612  2 Br 2.77-2.82
Sb: 0.6897 0.2168 0.9388  2 Br 2.77-2.82
Br: 0.1524 0.4653 0.5000  1 Sb 2.56
Br: 0.4562 0.9972 0.5000  1 Sb 2.51
Br: 0.7435 0.0696 0.8149  2 Sb 2.77-2.92
Br: 0.1522 0.9015 0.1093  2 Sb 2.77-2.82
Br: 0.7191 0.5579 0.3073  1 Sb 2.65
Br: 0.3285 0.3785 0.7550  1 Sb 2.70
Br: 0.5430 0.2922 0.8907  2 Sb 2.77-2.82
Br: 0.4286 0.7547 0.1851  2 Sb 2.77-2.92
Br: 0.0736 0.1235 0.2450  1 Sb 2.70
Br: 0.9118 0.7505 0.6927  1 Sb 2.65

Computed properties:
E_tot: -2.8714 eV per atom
energy relative to the elements, uncorrected: -216 kJ/mol of formula units

---

Entry 3:
A plane-wave DFT calculation with PBE-GGA was carried out for crystalline K2TiIn4 at its relaxed geometry.

Cell lengths 5.4935, 5.4935, 9.7013 Å; angles 73.55, 73.55, 90.00 degrees
Last column: nearest neighbours and their distance in Å.
Element x y z (fractional)
K: 0.6412 0.6412 0.7177  9 In 3.69-3.89
K: 0.3588 0.3588 0.2823  9 In 3.69-3.89
Ti: 0.0000 0.0000 0.0000  6 In 2.69-2.75
In: 0.8488 0.8488 0.3024  1 Ti 2.69
In: 0.1512 0.1512 0.6976  1 Ti 2.69
In: 0.0000 0.5000 0.0000  2 Ti 2.75
In: 0.5000 0.0000 0.0000  2 Ti 2.75

Computed properties:
E_tot: -2.8189 eV per atom
calculated formation energy: 0.19 eV/atom

---

Entry 4:
A plane-wave DFT calculation with PBE-GGA was carried out for crystalline Li2NdTmSi2 at its relaxed geometry.

Cell lengths 4.4045, 4.4045, 7.2388 Å; angles 90.00, 90.00, 120.00 degrees
Last column: nearest neighbours and their distance in Å.
Element x y z (fractional)
Li: 0.3333 0.6667 0.7108  3 Si 2.55
Li: 0.6667 0.3333 0.2892  3 Si 2.55
Nd: 0.0000 0.0000 0.0000  6 Si 3.19, 6 Li 3.29
Tm: 0.0000 0.0000 0.5000  6 Li 2.97, 6 Si 3.05
Si: 0.3333 0.6667 0.2668  3 Li 2.55
Si: 0.6667 0.3333 0.7332  3 Li 2.55

Computed properties:
E_tot: -4.5389 eV per atom
energy relative to the elements, uncorrected: -320 kJ/mol of formula units